No. 1
# Zr4AlSnC2

A relaxed Zr4AlSnC2 crystal (GGA-PBE, OQMD via LeMat-Bulk).

Output
magnetization = 0.00 μB/atom
E = -8.267 eV per atom
space-group type = P-6m2

a b c (Å): 3.3571 3.3571 14.6377
angles (deg): 90.00 90.00 120.00
Closest atoms and distances in Å follow each position.
Element x y z (fractional)
Zr1 0.0000 0.0000 0.1609  3 C 2.31
Zr2 0.0000 0.0000 0.8391  3 C 2.31
Zr3 0.3333 0.6667 0.3328  3 C 2.31
Zr4 0.3333 0.6667 0.6672  3 C 2.31
Al1 0.3333 0.6667 0.0000  6 Zr 3.05, 6 Al 3.36
Sn1 0.0000 0.0000 0.5000  6 Zr 3.12, 6 Sn 3.36
C1 0.6667 0.3333 0.2471  6 Zr 2.31
C2 0.6667 0.3333 0.7529  6 Zr 2.31

---

No. 2
# TaAl2C

A relaxed TaAl2C crystal (GGA-PBE, OQMD via LeMat-Bulk).

Output
magnetization = 0.00 μB/atom
E = -6.948 eV per atom
space-group type = P6_3/mmc

a b c (Å): 3.0088 3.0088 14.1122
angles (deg): 90.00 90.00 120.00
Closest atoms and distances in Å follow each position.
Element x y z (fractional)
Ta1 0.3333 0.6667 0.2500  6 Al 3.00, 6 Ta 3.01
Ta2 0.6667 0.3333 0.7500  6 Al 3.00, 6 Ta 3.01
Al1 0.3333 0.6667 0.5766  3 C 2.05
Al2 0.3333 0.6667 0.9234  3 C 2.05
Al3 0.6667 0.3333 0.0766  3 C 2.05
Al4 0.6667 0.3333 0.4234  3 C 2.05
C1 0.0000 0.0000 0.0000  6 Al 2.05
C2 0.0000 0.0000 0.5000  6 Al 2.05

---

No. 3
# Ta4AlC3

A relaxed Ta4AlC3 crystal (GGA-PBE, OQMD via LeMat-Bulk).

Output
magnetization = 0.00 μB/atom
E = -10.430 eV per atom
space-group type = P6_3/mmc

a b c (Å): 3.1372 3.1372 24.2599
angles (deg): 90.00 90.00 120.00
Closest atoms and distances in Å follow each position.
Element x y z (fractional)
Ta1 0.0000 0.0000 0.1574  3 C 2.17
Ta2 0.0000 0.0000 0.3426  3 C 2.17
Ta3 0.0000 0.0000 0.6574  3 C 2.17
Ta4 0.0000 0.0000 0.8426  3 C 2.17
Ta5 0.3333 0.6667 0.0552  6 C 2.22-2.25
Ta6 0.3333 0.6667 0.4448  6 C 2.22-2.25
Ta7 0.6667 0.3333 0.5552  6 C 2.22-2.25
Ta8 0.6667 0.3333 0.9448  6 C 2.22-2.25
Al1 0.3333 0.6667 0.2500  6 Ta 2.89, 6 Al 3.14
Al2 0.6667 0.3333 0.7500  6 Ta 2.89, 6 Al 3.14
C1 0.0000 0.0000 0.0000  6 Ta 2.25
C2 0.0000 0.0000 0.5000  6 Ta 2.25
C3 0.3333 0.6667 0.6081  6 Ta 2.17-2.22
C4 0.3333 0.6667 0.8919  6 Ta 2.17-2.22
C5 0.6667 0.3333 0.1081  6 Ta 2.17-2.22
C6 0.6667 0.3333 0.3919  6 Ta 2.17-2.22

---

No. 4
# Ta4Al3W2C3

A relaxed Ta4Al3W2C3 crystal (GGA-PBE, OQMD via LeMat-Bulk).

Output
magnetization = 0.00 μB/atom
E = -9.718 eV per atom
space-group type = C2/c

a b c (Å): 5.3310 5.3310 14.0717
angles (deg): 100.94 100.94 59.99
Closest atoms and distances in Å follow each position.
Element x y z (fractional)
Ta1 0.0302 0.1981 0.0919  3 C 2.17-2.18
Ta2 0.1362 0.3028 0.4081  3 C 2.17-2.18
Ta3 0.1981 0.0302 0.5919  3 C 2.17-2.18
Ta4 0.3028 0.1362 0.9081  3 C 2.17-2.18
Ta5 0.6972 0.8638 0.0919  3 C 2.17-2.18
Ta6 0.8019 0.9698 0.4081  3 C 2.17-2.18
Ta7 0.8638 0.6972 0.5919  3 C 2.17-2.18
Ta8 0.9698 0.8019 0.9081  3 C 2.17-2.18
Al1 0.1064 0.8936 0.2500  2 W 2.79, 4 Ta 2.85, 2 Al 2.85
Al2 0.2758 0.4155 0.7499  2 W 2.78, 4 Ta 2.85, 2 Al 2.85
Al3 0.4155 0.2758 0.2499  2 W 2.78, 4 Ta 2.85, 2 Al 2.85
Al4 0.5845 0.7242 0.7501  2 W 2.78, 4 Ta 2.85, 2 Al 2.85
Al5 0.7242 0.5845 0.2501  2 W 2.78, 4 Ta 2.85, 2 Al 2.85
Al6 0.8936 0.1064 0.7500  2 W 2.79, 4 Ta 2.85, 2 Al 2.85
W1 0.3625 0.5292 0.0865  3 C 2.14-2.15
W2 0.4708 0.6375 0.4135  3 C 2.14-2.15
W3 0.5292 0.3625 0.5865  3 C 2.14-2.15
W4 0.6375 0.4708 0.9135  3 C 2.14-2.15
C1 0.0000 0.5000 0.0000  2 W 2.14, 4 Ta 2.18
C2 0.1638 0.6681 0.5000  2 W 2.14-2.15, 4 Ta 2.17-2.18
C3 0.3319 0.8362 0.0000  2 W 2.14-2.15, 4 Ta 2.17-2.18
C4 0.5000 0.0000 0.5000  2 W 2.14, 4 Ta 2.18
C5 0.6681 0.1638 0.0000  2 W 2.14-2.15, 4 Ta 2.17-2.18
C6 0.8362 0.3319 0.5000  2 W 2.14-2.15, 4 Ta 2.17-2.18

---

No. 5
# Ta4AlZnC2

A relaxed Ta4AlZnC2 crystal (GGA-PBE, OQMD via LeMat-Bulk).

Output
magnetization = 0.00 μB/atom
E = -9.311 eV per atom
space-group type = P-6m2

a b c (Å): 3.1144 3.1144 13.8214
angles (deg): 90.00 90.00 120.00
Closest atoms and distances in Å follow each position.
Element x y z (fractional)
Ta1 0.0000 0.0000 0.1611  3 C 2.19
Ta2 0.0000 0.0000 0.8389  3 C 2.19
Ta3 0.3333 0.6667 0.3394  3 C 2.17
Ta4 0.3333 0.6667 0.6606  3 C 2.17
Al1 0.3333 0.6667 0.0000  6 Ta 2.86, 6 Al 3.11
Zn1 0.0000 0.0000 0.5000  6 Ta 2.86, 6 Zn 3.11
C1 0.6667 0.3333 0.2517  6 Ta 2.17-2.19
C2 0.6667 0.3333 0.7483  6 Ta 2.17-2.19

---

No. 6
# ZrTa3Al2C2

A relaxed ZrTa3Al2C2 crystal (GGA-PBE, OQMD via LeMat-Bulk).

Output
magnetization = 0.00 μB/atom
E = -9.316 eV per atom
space-group type = P3m1

a b c (Å): 3.1424 3.1424 14.1442
angles (deg): 90.00 90.00 120.00
Closest atoms and distances in Å follow each position.
Element x y z (fractional)
Zr1 0.0000 0.0000 0.0000  3 C 2.28
Ta1 0.0000 0.0000 0.3278  3 C 2.19
Ta2 0.6667 0.3333 0.5019  3 C 2.20
Ta3 0.6667 0.3333 0.8168  3 C 2.18
Al1 0.0000 0.0000 0.6591  6 Ta 2.87-2.88, 6 Al 3.14
Al2 0.6667 0.3333 0.1693  3 Ta 2.88, 3 Zr 3.00, 6 Al 3.14
C1 0.3333 0.6667 0.4146  6 Ta 2.19-2.20
C2 0.3333 0.6667 0.9021  3 Ta 2.18, 3 Zr 2.28